Here is a relaxed Ho3TmPd6 crystal from Alexandria. Energies are from GGA-PBE.

The formation energy comes out at -0.871 eV/atom. Its calculated volume is 19.88 Å³/atom. Its final energy is -5.808 eV per atom. Its size of the total moment is 0.000 μB per cell.

It has space group P2_1/m (No. 11), with a = 8.246 Å, b = 4.901 Å, c = 10.303 Å, α = 90.00°, β = 107.32° and γ = 90.00°. The distinct sites, in fractional coordinates, are Ho at (0.020, 0.250, 0.386), Ho at (0.141, 0.750, 0.195), Ho at (0.292, 0.250, 0.990), Tm at (0.436, 0.250, 0.608), Pd at (0.054, 0.750, 0.908), Pd at (0.144, 0.250, 0.695), Pd at (0.259, 0.750, 0.489), Pd at (0.349, 0.250, 0.304), Pd at (0.354, 0.750, 0.801) and Pd at (0.427, 0.750, 0.109).